! WO3, relaxed, DFT PBEsol; values from VASP
! - magnetization (μB/cell) = 0.00
! - formation energy from raw total energies (eV per formula unit) = -8.5
&SYSTEM
  ibrav = 0, nat = 8, ntyp = 2
/
ATOMIC_SPECIES
O 16.00 O.upf
W 183.84 W.upf
CELL_PARAMETERS angstrom
3.8580 -0.0039 0.0000
-0.0050 3.8580 0.0000
0.0000 0.0000 7.5044
ATOMIC_POSITIONS crystal
O 0.5000 0.5000 0.5000
O 0.5000 0.5000 0.0000
O 0.5182 0.9830 0.7500
O 0.9830 0.5182 0.2500
O 0.0170 0.4818 0.7500
O 0.4818 0.0170 0.2500
W 0.4471 0.5529 0.2500
W 0.5529 0.4471 0.7500